SrZnTeN2, optimized geometry, DFT GGA-PBE; size of the total moment = 3.9 μB/cell; theoretical density = 4.73 g/cm3; volume = 108.2 Å³ per cell; energy above the lowest structure with this stoichiometry = 0 meV/atom
1.0
4.442 0.000 0.000
0.000 4.442 0.000
0.000 0.000 5.485
Sr Zn Te N
1 1 1 2
Direct
0.000 0.000 0.000
0.500 0.500 0.500
0.500 0.500 0.000
0.000 0.500 0.500
0.500 0.000 0.500



SrZnTeN2, optimized geometry, DFT GGA-PBE; size of the total moment = 4.5 μB/cell; theoretical density = 3.23 g/cm3; volume = 158.5 Å³ per cell; energy above the lowest structure with this stoichiometry = 542 meV/atom
1.0
4.824 0.000 0.000
0.000 4.824 0.000
0.000 0.000 6.811
Sr Zn Te N
1 1 1 2
Direct
0.000 0.000 0.000
0.500 0.500 0.500
0.000 0.000 0.500
0.000 0.500 0.000
0.500 0.000 0.000



SrZnTe2N, optimized geometry, DFT GGA-PBE; size of the total moment = 3.2 μB/cell; theoretical density = 3.63 g/cm3; volume = 193.4 Å³ per cell; energy above the lowest structure with this stoichiometry = 836 meV/atom
1.0
6.304 0.000 0.000
0.000 6.304 0.000
0.000 0.000 4.867
Sr Zn Te N
1 1 2 1
Direct
0.000 0.000 0.000
0.500 0.500 0.500
0.000 0.500 0.000
0.500 0.000 0.000
0.000 0.000 0.500



SrZrTe2N, optimized geometry, DFT GGA-PBE; size of the total moment = 0.1 μB/cell; theoretical density = 4.87 g/cm3; volume = 152.8 Å³ per cell; energy above the lowest structure with this stoichiometry = 1580 meV/atom
1.0
5.972 0.000 0.000
0.000 5.972 0.000
0.000 0.000 4.284
Sr Zr Te N
1 1 2 1
Direct
0.000 0.000 0.000
0.500 0.500 0.500
0.000 0.500 0.000
0.500 0.000 0.000
0.000 0.000 0.500



SrZrTe2N, optimized geometry, DFT GGA-PBE; size of the total moment = 0.3 μB/cell; theoretical density = 5.25 g/cm3; volume = 141.7 Å³ per cell; energy above the lowest structure with this stoichiometry = 0 meV/atom
1.0
5.870 0.000 0.000
0.000 5.870 0.000
0.000 0.000 4.113
Sr Zr Te N
1 1 2 1
Direct
0.000 0.000 0.000
0.500 0.500 0.500
0.000 0.500 0.500
0.500 0.000 0.500
0.500 0.500 0.000



SrTh2N, optimized geometry, DFT GGA-PBE; size of the total moment = 0.0 μB/cell; theoretical density = 7.92 g/cm3; volume = 355.7 Å³ per cell; electronic total energy = -6.64 eV/atom
1.0
3.685 0.000 0.000
-1.842 3.191 0.000
0.000 0.000 30.250
Sr Th N
3 6 3
Direct
0.000 0.000 0.000
0.333 0.667 0.667
0.667 0.333 0.333
0.000 0.000 0.121
0.000 0.000 0.879
0.333 0.667 0.546
0.333 0.667 0.787
0.667 0.333 0.213
0.667 0.333 0.454
0.000 0.000 0.500
0.333 0.667 0.167
0.667 0.333 0.833